Entry from Alexandria: a geometry-optimized ZrCr3B structure (GGA-PBE).

Results
energy above the most stable polymorph in this dataset	62.52	kcal/mol of atoms
formation energy	2.888	eV/atom

a = 4.4792 Å, b = 4.4792 Å, c = 4.4792 Å
α = 90.00°, β = 90.00°, γ = 90.00°
Space group Pm-3m (No. 221)
Asymmetric unit:
Zr  0.0000  0.0000  0.0000 [1 per cell]
Cr  0.0000  0.0000  0.5000 [3 per cell]
B  0.5000  0.5000  0.5000 [1 per cell]

Entry from Alexandria: a geometry-optimized Tm3Ga9Rh2 structure (GGA-PBE).

Results
formation energy	-0.660	eV/atom

a = 4.2491 Å, b = 9.4662 Å, c = 12.2931 Å
α = 90.00°, β = 90.00°, γ = 90.00°
Space group Immm (No. 71)
Asymmetric unit:
Tm  0.0000  0.0000  0.0000 [2 per cell]
Tm  0.0000  0.0000  0.2993 [4 per cell]
Ga  0.0000  0.2822  0.1352 [8 per cell]
Ga  0.0000  0.3651  0.3465 [8 per cell]
Ga  0.0000  0.5000  0.0000 [2 per cell]
Rh  0.0000  0.1751  0.5000 [4 per cell]

Entry from Alexandria: a geometry-optimized Li3Tl4Rh2 structure (GGA-PBE).

Results
formation energy	-0.151	eV/atom

a = 8.0628 Å, b = 4.6517 Å, c = 8.9698 Å
α = 90.00°, β = 90.05°, γ = 90.00°
Space group C2/m (No. 12)
Asymmetric unit:
Li  0.0000  0.0000  0.0000 [2 per cell]
Li  0.1666  0.5000  0.5495 [4 per cell]
Tl  0.0004  0.0000  0.3301 [4 per cell]
Tl  0.1665  0.5000  0.8867 [4 per cell]
Rh  0.1670  0.5000  0.2183 [4 per cell]

Entry from Alexandria: a geometry-optimized Mg2TaTc2 structure (GGA-PBE).

Results
energy above the most stable polymorph in this dataset	5.85	kcal/mol of atoms
formation energy	0.590	eV/atom

a = 3.5553 Å, b = 3.5553 Å, c = 14.0371 Å
α = 90.00°, β = 90.00°, γ = 90.00°
Space group I4/mmm (No. 139)
Asymmetric unit:
Mg  0.0000  0.5000  0.2500 [4 per cell]
Ta  0.0000  0.0000  0.0000 [2 per cell]
Tc  0.0000  0.0000  0.4101 [4 per cell]

Entry from Alexandria: a geometry-optimized Rb2Pd2Se structure (GGA-PBE).

Results
calculated total energy	-0.2495	Ry per atom

a = 6.9301 Å, b = 6.9301 Å, c = 5.4589 Å
α = 90.00°, β = 90.00°, γ = 90.00°
Space group P4/mbm (No. 127)
Asymmetric unit:
Rb  0.1771  0.3229  0.0000 [4 per cell]
Pd  0.1521  0.6521  0.5000 [4 per cell]
Se  0.0000  0.0000  0.5000 [2 per cell]

Entry from Alexandria: a geometry-optimized Ni2AsW structure (GGA-PBE).

Results
formation energy	0.143	eV/atom

a = 2.7770 Å, b = 2.7770 Å, c = 24.3881 Å
α = 90.00°, β = 90.00°, γ = 120.00°
Space group R-3m (No. 166, hexagonal axes)
Asymmetric unit:
Ni  0.0000  0.0000  0.2450 [6 per cell]
As  0.0000  0.0000  0.5000 [3 per cell]
W  0.0000  0.0000  0.0000 [3 per cell]

Entry from Alexandria: a geometry-optimized Be2Si structure (GGA-PBE).

Results
energy above the most stable polymorph in this dataset	2.89	kcal/mol of atoms

a = 2.4130 Å, b = 16.3269 Å, c = 3.4782 Å
α = 90.00°, β = 90.00°, γ = 90.00°
Space group Cmcm (No. 63)
Asymmetric unit:
Be  0.0000  0.0410  0.2500 [4 per cell]
Be  0.0000  0.4248  0.2500 [4 per cell]
Si  0.0000  0.3304  0.7500 [4 per cell]

Entry from Alexandria: a geometry-optimized Fe2Re2Os structure (GGA-PBE).

Results
formation energy	0.167	eV/atom

a = 6.9290 Å, b = 6.9290 Å, c = 2.7362 Å
α = 90.00°, β = 90.00°, γ = 90.00°
Space group P4/mbm (No. 127)
Asymmetric unit:
Fe  0.1225  0.3775  0.0000 [4 per cell]
Re  0.1743  0.6743  0.5000 [4 per cell]
Os  0.0000  0.0000  0.0000 [2 per cell]

Entry from Alexandria: a geometry-optimized Tm3In2Hg3 structure (GGA-PBE).

Results
formation energy	-0.313	eV/atom

a = 8.8969 Å, b = 8.8969 Å, c = 6.1700 Å
α = 90.00°, β = 90.00°, γ = 120.00°
Space group P6_3/mcm (No. 193)
Asymmetric unit:
Tm  0.0000  0.3094  0.2500 [6 per cell]
In  0.3333  0.6667  0.0000 [4 per cell]
Hg  0.0000  0.3431  0.7500 [6 per cell]

Entry from Alexandria: a geometry-optimized CaLa3Tc structure (GGA-PBE).

Results
energy above the most stable polymorph in this dataset	0.53	kcal/mol of atoms
formation energy	0.007	eV/atom

a = 6.8632 Å, b = 7.0170 Å, c = 7.9862 Å
α = 90.10°, β = 106.53°, γ = 100.24°
Space group P1 (No. 1)
Asymmetric unit:
Ca  0.0000  0.0000  0.0000 [1 per cell]
Ca  0.0013  0.4974  0.2367 [1 per cell]
La  0.0107  0.4993  0.7388 [1 per cell]
La  0.0166  0.9975  0.5016 [1 per cell]
La  0.4893  0.7437  0.1197 [1 per cell]
La  0.4964  0.2342  0.8629 [1 per cell]
La  0.5003  0.2443  0.3655 [1 per cell]
La  0.5065  0.7357  0.6241 [1 per cell]
Tc  0.2766  0.8317  0.8338 [1 per cell]
Tc  0.2819  0.3370  0.5396 [1 per cell]

Entry from Alexandria: a geometry-optimized Zr12ZnHg3 structure (GGA-PBE).

Results
formation energy	-0.131	eV/atom

a = 4.4229 Å, b = 4.4229 Å, c = 17.7269 Å
α = 90.00°, β = 90.00°, γ = 90.00°
Space group P4/mmm (No. 123)
Asymmetric unit:
Zr  0.0000  0.0000  0.0000 [1 per cell]
Zr  0.0000  0.0000  0.2473 [2 per cell]
Zr  0.0000  0.0000  0.5000 [1 per cell]
Zr  0.0000  0.5000  0.1202 [4 per cell]
Zr  0.0000  0.5000  0.3736 [4 per cell]
Zn  0.5000  0.5000  0.0000 [1 per cell]
Hg  0.5000  0.5000  0.2474 [2 per cell]
Hg  0.5000  0.5000  0.5000 [1 per cell]

Entry from Alexandria: a geometry-optimized Sn4GeSe6 structure (GGA-PBE).

Results
calculated total energy	-0.3017	Ry per atom

a = 16.7095 Å, b = 7.4184 Å, c = 13.8942 Å
α = 90.00°, β = 123.33°, γ = 90.00°
Space group Cc (No. 9)
Asymmetric unit:
Sn  0.0000  0.0561  0.0000 [4 per cell]
Sn  0.1787  0.1896  0.3135 [4 per cell]
Sn  0.3124  0.3402  0.6948 [4 per cell]
Sn  0.4542  0.0986  0.1833 [4 per cell]
Ge  0.2285  0.2790  0.9073 [4 per cell]
Se  0.1284  0.2724  0.7031 [4 per cell]
Se  0.1806  0.4563  0.4621 [4 per cell]
Se  0.2113  0.0256  0.9991 [4 per cell]
Se  0.3514  0.3247  0.2896 [4 per cell]
Se  0.3938  0.2384  0.9640 [4 per cell]
Se  0.4717  0.2811  0.6624 [4 per cell]

Entry from Alexandria: a geometry-optimized LaSc2Hg structure (GGA-PBE).

Results
formation energy	-0.063	eV/atom

a = 5.2214 Å, b = 5.2214 Å, c = 3.6109 Å
α = 90.00°, β = 90.00°, γ = 90.00°
Space group P4/mmm (No. 123)
Asymmetric unit:
La  0.0000  0.0000  0.0000 [1 per cell]
Sc  0.0000  0.5000  0.5000 [2 per cell]
Hg  0.5000  0.5000  0.0000 [1 per cell]

Entry from Alexandria: a geometry-optimized Zn2Rh2Pb structure (GGA-PBE).

Results
energy above the most stable polymorph in this dataset	0.00	kcal/mol of atoms
formation energy	-0.158	eV/atom

a = 7.2788 Å, b = 7.2788 Å, c = 3.1541 Å
α = 90.00°, β = 90.00°, γ = 90.00°
Space group P4/mbm (No. 127)
Asymmetric unit:
Zn  0.1406  0.3594  0.0000 [4 per cell]
Rh  0.1516  0.6516  0.5000 [4 per cell]
Pb  0.0000  0.0000  0.5000 [2 per cell]

Entry from Alexandria: a geometry-optimized BaZrRu2 structure (GGA-PBE).

Results
energy above the most stable polymorph in this dataset	7.45	kcal/mol of atoms
formation energy	0.453	eV/atom

a = 6.9336 Å, b = 6.9336 Å, c = 6.9336 Å
α = 90.00°, β = 90.00°, γ = 90.00°
Space group Fm-3m (No. 225)
Asymmetric unit:
Ba  0.0000  0.0000  0.0000 [4 per cell]
Zr  0.0000  0.0000  0.5000 [4 per cell]
Ru  0.2500  0.2500  0.2500 [8 per cell]

Entry from Alexandria: a geometry-optimized YZnAgIr structure (GGA-PBE).

Results
formation energy	-0.313	eV/atom

a = 6.6707 Å, b = 6.6707 Å, c = 6.6707 Å
α = 90.00°, β = 90.00°, γ = 90.00°
Space group F-43m (No. 216)
Asymmetric unit:
Y  0.0000  0.0000  0.0000 [4 per cell]
Zn  0.0000  0.0000  0.5000 [4 per cell]
Ag  0.2500  0.2500  0.2500 [4 per cell]
Ir  0.2500  0.2500  0.7500 [4 per cell]

Entry from Alexandria: a geometry-optimized Co2TeC structure (GGA-PBE).

Results
energy above the most stable polymorph in this dataset	20.21	kcal/mol of atoms

a = 5.8720 Å, b = 5.8720 Å, c = 5.8720 Å
α = 90.00°, β = 90.00°, γ = 90.00°
Space group Fm-3m (No. 225)
Asymmetric unit:
Co  0.2500  0.2500  0.2500 [8 per cell]
Te  0.0000  0.0000  0.0000 [4 per cell]
C  0.0000  0.0000  0.5000 [4 per cell]

Entry from Alexandria: a geometry-optimized BaCa2La structure (GGA-PBE).

Results
energy above the most stable polymorph in this dataset	0.45	kcal/mol of atoms
formation energy	0.094	eV/atom

a = 4.3698 Å, b = 6.2595 Å, c = 12.8835 Å
α = 90.00°, β = 90.00°, γ = 90.00°
Space group Cmmm (No. 65)
Asymmetric unit:
Ba  0.0000  0.0000  0.0000 [2 per cell]
Ca  0.0000  0.5000  0.2623 [4 per cell]
La  0.0000  0.0000  0.5000 [2 per cell]

Entry from Alexandria: a geometry-optimized PuPa2BeN4 structure (GGA-PBE).

Results
calculated total energy	-0.7412	Ry per atom

a = 3.5095 Å, b = 11.3836 Å, c = 11.1606 Å
α = 90.00°, β = 90.00°, γ = 90.00°
Space group Cmcm (No. 63)
Asymmetric unit:
Pu  0.0000  0.0980  0.2500 [4 per cell]
Pa  0.0000  0.3695  0.0558 [8 per cell]
Be  0.0000  0.1829  0.7500 [4 per cell]
N  0.0000  0.0000  0.0000 [4 per cell]
N  0.0000  0.2612  0.6251 [8 per cell]
N  0.0000  0.4239  0.2500 [4 per cell]

Entry from Alexandria: a geometry-optimized Mg2InBi structure (GGA-PBE).

Results
energy above the most stable polymorph in this dataset	0.59	kcal/mol of atoms
formation energy	-0.076	eV/atom

a = 7.4550 Å, b = 7.4550 Å, c = 7.4550 Å
α = 90.00°, β = 90.00°, γ = 90.00°
Space group Fm-3m (No. 225)
Asymmetric unit:
Mg  0.2500  0.2500  0.2500 [8 per cell]
In  0.0000  0.0000  0.0000 [4 per cell]
Bi  0.0000  0.0000  0.5000 [4 per cell]

Entry from Alexandria: a geometry-optimized Li2H7Ru2 structure (GGA-PBE).

Results
calculated total energy	-0.3167	Ry per atom

a = 5.7939 Å, b = 6.3910 Å, c = 4.3117 Å
α = 90.00°, β = 90.00°, γ = 90.00°
Space group Cmmm (No. 65)
Asymmetric unit:
Li  0.2386  0.0000  0.0000 [4 per cell]
H  0.0000  0.0000  0.5000 [2 per cell]
H  0.0000  0.5000  0.2862 [4 per cell]
H  0.2500  0.2500  0.2613 [8 per cell]
Ru  0.0000  0.2654  0.5000 [4 per cell]

Entry from Alexandria: a geometry-optimized NpTiPbO6 structure (GGA-PBE).

Results
calculated total energy	-0.6284	Ry per atom

a = 5.4599 Å, b = 5.4599 Å, c = 10.6700 Å
α = 90.00°, β = 90.00°, γ = 120.00°
Space group P-31c (No. 163)
Asymmetric unit:
Np  0.3333  0.6667  0.2500 [2 per cell]
Ti  0.3333  0.6667  0.7500 [2 per cell]
Pb  0.0000  0.0000  0.0000 [2 per cell]
O  0.0115  0.3798  0.6486 [12 per cell]

Entry from Alexandria: a geometry-optimized Zr2SbMo structure (GGA-PBE).

Results
calculated total energy	-0.6132	Ry per atom

a = 3.6282 Å, b = 3.6413 Å, c = 6.2030 Å
α = 90.00°, β = 90.00°, γ = 90.00°
Space group Pmmm (No. 47)
Asymmetric unit:
Zr  0.0000  0.0000  0.2402 [2 per cell]
Sb  0.5000  0.5000  0.5000 [1 per cell]
Mo  0.5000  0.5000  0.0000 [1 per cell]

Across the entries above, magnetization takes the values 0.00; 0.00; 0.00; 0.93; 0.00; 0.00; 0.00; 0.00; 0.00; 0.00; 0.00; 0.00; 0.10; 0.00; 0.00; 0.00; 7.77; 0.00; 22.05; 0.00; 0.00; 2.00; 0.00 μB per cell, respectively.